Run a
Density functional theory data (PBE) for a relaxed structure of ZnAsSeN2.

Values from the calculation:
Magnetization: 0.53 μB/atom
N(E_F): 2.1 states/eV/cell

a b c (Å): 3.923 3.923 5.545
angles (deg): 90.00 90.00 90.00
Each line ends with the local moment (μB).
Fractional positions:
As 0.500 0.500 0.500  -0.28
Zn 0.000 0.000 0.000  0.04
Se 0.000 0.000 0.500  0.14
N 0.000 0.500 0.000  1.05
N 0.500 0.000 0.000  1.05

Run b
Density functional theory data (PBE) for a relaxed structure of ZnAsSeN2.

Values from the calculation:
Magnetization: 0.14 μB/atom
N(E_F): 2.3 states/eV/cell

a b c (Å): 3.656 3.656 6.588
angles (deg): 90.00 90.00 90.00
Each line ends with the local moment (μB).
Fractional positions:
As 0.000 0.000 0.000  0.00
Zn 0.500 0.500 0.500  0.00
Se 0.000 0.000 0.500  0.00
N 0.000 0.500 0.000  0.26
N 0.500 0.000 0.000  0.26

Relative stability in meV per atom, measured from the most stable structure: run a 459; run b 0